Crystalline MgGe2TeRu at its relaxed geometry, computed with PBEsol.

It has space group P4/mmm (No. 123), with a = 4.7317 Å, b = 4.7317 Å, c = 5.2852 Å, α = 90.00°, β = 90.00° and γ = 90.00°. The distinct sites, in fractional coordinates, are Mg at (0.0000, 0.0000, 0.0000), Ge at (0.0000, 0.5000, 0.0000), Te at (0.0000, 0.0000, 0.5000) and Ru at (0.5000, 0.5000, 0.5000).

The calculation puts the total energy at -3.7075 eV/atom. Its spin magnetization is 1.7 μB per formula unit. The calculation puts the formation energy (no corrections) at 6.76 eV/f.u.